1.
Cs2BaCu2H6 | PBE-GGA | optimized geometry

a = 10.826 Å, b = 5.916 Å, c = 8.148 Å
α = 90.00°, β = 114.12°, γ = 90.00°
Space group C2/m (No. 12)
Asymmetric unit:
Cs1 0.197 0.000 0.142 (multiplicity 4)
Ba1 0.000 0.000 0.500 (multiplicity 2)
Cu1 0.063 0.500 0.272 (multiplicity 4)
H1 0.025 0.269 0.771 (multiplicity 8)
H2 0.226 0.500 0.343 (multiplicity 4)

Values from the calculation:
VASP energy: -67.58 eV for the cell shown
volume: 476 Å³ per cell

2.
CaAl2Ir2 | PBE-GGA | optimized geometry

a = 7.531 Å, b = 7.531 Å, c = 2.891 Å
α = 90.00°, β = 90.00°, γ = 90.00°
Space group P4/mbm (No. 127)
Asymmetric unit:
Ca1 0.000 0.000 0.000 (multiplicity 2)
Al1 0.128 0.372 0.000 (multiplicity 4)
Ir1 0.164 0.664 0.500 (multiplicity 4)

Values from the calculation:
VASP energy: -61.96 eV for the cell shown
volume: 164 Å³ per cell
ΔE_f: -0.7545 eV/atom

3.
SmEr3Fe | PBE-GGA | optimized geometry

a = 5.236 Å, b = 5.236 Å, c = 5.236 Å
α = 90.00°, β = 90.00°, γ = 90.00°
Space group Pm-3m (No. 221)
Asymmetric unit:
Sm1 0.000 0.000 0.000 (multiplicity 1)
Er1 0.000 0.500 0.500 (multiplicity 3)
Fe1 0.500 0.500 0.500 (multiplicity 1)

Values from the calculation:
VASP energy: -26.44 eV for the cell shown
volume: 144 Å³ per cell
ΔE_f: 0.0862 eV/atom

4.
GaSiW | PBE-GGA | optimized geometry

a = 3.414 Å, b = 3.414 Å, c = 8.017 Å
α = 90.00°, β = 90.00°, γ = 90.00°
Space group P4/nmm (No. 129, origin choice 2)
Asymmetric unit:
Ga1 0.250 0.250 0.096 (multiplicity 2)
Si1 0.250 0.750 0.500 (multiplicity 2)
W1 0.250 0.250 0.736 (multiplicity 2)

Values from the calculation:
VASP energy: -42.75 eV for the cell shown
volume: 93 Å³ per cell

5.
PuAlGaGe | PBE-GGA | optimized geometry

a = 4.154 Å, b = 4.234 Å, c = 4.388 Å
α = 90.00°, β = 90.00°, γ = 90.00°
Space group Pmmm (No. 47)
Asymmetric unit:
Pu1 0.000 0.000 0.000 (multiplicity 1)
Al1 0.000 0.500 0.500 (multiplicity 1)
Ga1 0.500 0.000 0.500 (multiplicity 1)
Ge1 0.500 0.500 0.000 (multiplicity 1)

Values from the calculation:
VASP energy: -27.21 eV for the cell shown
volume: 77 Å³ per cell
ΔE_f: -0.3741 eV/atom

6.
Zn2Ni5Pt2 | PBE-GGA | optimized geometry

a = 4.498 Å, b = 4.519 Å, c = 5.893 Å
α = 74.91°, β = 83.38°, γ = 79.96°
Space group P-1 (No. 2)
Asymmetric unit:
Zn1 0.057 0.289 0.376 (multiplicity 2)
Ni1 0.170 0.825 0.159 (multiplicity 2)
Ni2 0.277 0.391 0.943 (multiplicity 2)
Ni3 0.500 0.500 0.500 (multiplicity 1)
Pt1 0.380 0.951 0.729 (multiplicity 2)

Values from the calculation:
VASP energy: -45.15 eV for the cell shown
volume: 114 Å³ per cell
ΔE_f: -0.1792 eV/atom

7.
Rb3U3VSe8 | PBE-GGA | optimized geometry

a = 8.1974 Å, b = 8.1974 Å, c = 24.6854 Å
α = 90.00°, β = 90.00°, γ = 120.00°
Space group R-3m (No. 166, hexagonal axes)
Asymmetric unit:
Rb1 0.0000 0.5000 0.0000 (multiplicity 9)
U1 0.0000 0.5000 0.5000 (multiplicity 9)
V1 0.0000 0.0000 0.5000 (multiplicity 3)
Se1 0.0000 0.0000 0.2334 (multiplicity 6)
Se2 0.0171 0.5085 0.2284 (multiplicity 18)

Values from the calculation:
VASP energy: -272.96 eV for the cell shown
volume: 1437 Å³ per cell

8.
LiTa3Ir4 | PBE-GGA | optimized geometry

a = 2.971 Å, b = 2.971 Å, c = 13.860 Å
α = 90.00°, β = 90.00°, γ = 90.00°
Space group P4/mmm (No. 123)
Asymmetric unit:
Li1 0.000 0.000 0.000 (multiplicity 1)
Ta1 0.000 0.000 0.226 (multiplicity 2)
Ta2 0.000 0.000 0.500 (multiplicity 1)
Ir1 0.500 0.500 0.106 (multiplicity 2)
Ir2 0.500 0.500 0.363 (multiplicity 2)

Values from the calculation:
VASP energy: -76.93 eV for the cell shown
volume: 122 Å³ per cell
ΔE_f: -0.5017 eV/atom

9.
ErGa3Ge | PBE-GGA | optimized geometry

a = 9.424 Å, b = 2.962 Å, c = 7.974 Å
α = 90.00°, β = 90.00°, γ = 90.00°
Space group Pmma (No. 51)
Asymmetric unit:
Er1 0.250 0.000 0.162 (multiplicity 2)
Ga1 0.000 0.500 0.000 (multiplicity 2)
Ga2 0.003 0.500 0.340 (multiplicity 4)
Ge1 0.250 0.500 0.804 (multiplicity 2)

Values from the calculation:
VASP energy: -37.49 eV for the cell shown
volume: 223 Å³ per cell
ΔE_f: -0.0971 eV/atom

10.
GdMoRu2 | PBE-GGA | optimized geometry

a = 3.123 Å, b = 3.123 Å, c = 7.236 Å
α = 90.00°, β = 90.00°, γ = 90.00°
Space group P4/mmm (No. 123)
Asymmetric unit:
Gd1 0.000 0.000 0.000 (multiplicity 1)
Mo1 0.000 0.000 0.500 (multiplicity 1)
Ru1 0.500 0.500 0.295 (multiplicity 2)

Values from the calculation:
VASP energy: -43.57 eV for the cell shown
volume: 71 Å³ per cell
ΔE_f: -0.0254 eV/atom

11.
ReTcHRh2 | PBE-GGA | optimized geometry

a = 3.840 Å, b = 3.840 Å, c = 4.053 Å
α = 90.00°, β = 90.00°, γ = 90.00°
Space group P4/mmm (No. 123)
Asymmetric unit:
Re1 0.000 0.000 0.000 (multiplicity 1)
Tc1 0.500 0.500 0.000 (multiplicity 1)
H1 0.000 0.000 0.500 (multiplicity 1)
Rh1 0.000 0.500 0.500 (multiplicity 2)

Values from the calculation:
VASP energy: -40.69 eV for the cell shown
volume: 60 Å³ per cell

12.
TlTc2Mo | PBE-GGA | optimized geometry

a = 3.275 Å, b = 4.439 Å, c = 9.141 Å
α = 90.00°, β = 90.00°, γ = 90.00°
Space group Imm2 (No. 44)
Asymmetric unit:
Tl1 0.000 0.000 0.000 (multiplicity 2)
Tc1 0.000 0.000 0.494 (multiplicity 2)
Tc2 0.000 0.500 0.240 (multiplicity 2)
Mo1 0.000 0.500 0.762 (multiplicity 2)

Values from the calculation:
VASP energy: -63.65 eV for the cell shown
volume: 133 Å³ per cell
ΔE_f: 0.5266 eV/atom

13.
NpAgAs2 | PBE-GGA | optimized geometry

a = 4.608 Å, b = 4.608 Å, c = 3.725 Å
α = 90.00°, β = 90.00°, γ = 90.00°
Space group P4/mmm (No. 123)
Asymmetric unit:
Np1 0.000 0.000 0.000 (multiplicity 1)
Ag1 0.500 0.500 0.000 (multiplicity 1)
As1 0.000 0.500 0.500 (multiplicity 2)

Values from the calculation:
VASP energy: -26.33 eV for the cell shown
volume: 79 Å³ per cell
ΔE_f: -0.3105 eV/atom

no.,magnetization (μB per formula unit)
1,0.00
2,0.00
3,0.00
4,0.00
5,5.27
6,1.85
7,10.00
8,0.00
9,0.00
10,6.76
11,0.00
12,0.00
13,3.14